GGA+U HfV2O7, optimized geometry; VASP energy = -8.35 eV per atom; total moment = 0.0 μB per formula unit
1.0
8.985 0.000 0.000
0.000 8.985 0.000
0.000 0.000 8.985
Hf V O
4 8 28
Cartesian
0.000 0.000 0.000
0.000 4.492 4.492
4.492 0.000 4.492
4.492 4.492 0.000
1.033 5.526 7.952
1.033 7.952 3.459
3.459 1.033 7.952
3.459 3.459 3.459
5.526 5.526 5.526
5.526 7.952 1.033
7.952 1.033 5.526
7.952 3.459 1.033
0.000 0.000 4.492
0.000 4.492 0.000
0.570 6.311 3.678
0.570 7.167 8.170
0.815 5.062 6.311
0.815 8.415 1.818
1.818 0.815 8.415
1.818 3.678 3.922
2.674 5.307 8.415
2.674 8.170 3.922
3.678 0.570 6.311
3.678 3.922 1.818
3.922 1.818 3.678
3.922 2.674 8.170
4.492 0.000 0.000
4.492 4.492 4.492
5.062 6.311 0.815
5.062 7.167 5.307
5.307 5.062 7.167
5.307 8.415 2.674
6.311 0.815 5.062
6.311 3.678 0.570
7.167 5.307 5.062
7.167 8.170 0.570
8.170 0.570 7.167
8.170 3.922 2.674
8.415 1.818 0.815
8.415 2.674 5.307